(1)
This record from Alexandria describes a geometry-optimized Y6S5 structure. The functional is PBE.

abc: 6.733 6.733 6.741
angles: 99.65 99.65 119.76
Positions (direct):
Y (0.081, 0.418, 0.749)
Y (0.248, 0.248, 0.256)
Y (0.418, 0.081, 0.749)
Y (0.582, 0.919, 0.251)
Y (0.752, 0.752, 0.744)
Y (0.919, 0.582, 0.251)
S (0.000, 0.000, 0.500)
S (0.166, 0.834, 0.000)
S (0.332, 0.668, 0.500)
S (0.668, 0.332, 0.500)
S (0.834, 0.166, 0.000)

Properties
Symmetry = C2/m, No. 12
Raw formation energy = -1.830 eV/atom


(2)
This record from Alexandria describes a geometry-optimized YS structure. The functional is PBE.

abc: 10.811 10.811 4.171
angles: 90.00 90.00 90.00
Positions (direct):
Y (0.119, 0.331, 0.000)
Y (0.169, 0.619, 0.500)
Y (0.331, 0.881, 0.000)
Y (0.381, 0.169, 0.500)
Y (0.619, 0.831, 0.500)
Y (0.669, 0.119, 0.000)
Y (0.831, 0.381, 0.500)
Y (0.881, 0.669, 0.000)
S (0.110, 0.766, 0.000)
S (0.234, 0.110, 0.000)
S (0.266, 0.390, 0.500)
S (0.390, 0.734, 0.500)
S (0.610, 0.266, 0.500)
S (0.734, 0.610, 0.500)
S (0.766, 0.890, 0.000)
S (0.890, 0.234, 0.000)

Properties
Symmetry = I4/m, No. 87
Raw formation energy = -1.638 eV/atom


(3)
This record from Alexandria describes a geometry-optimized YbY2S4 structure. The functional is PBE.

abc: 7.245 7.245 7.245
angles: 109.43 109.43 109.55
Positions (direct):
Yb (0.000, 0.000, 0.000)
Yb (0.750, 0.250, 0.500)
Y (0.248, 0.625, 0.123)
Y (0.375, 0.498, 0.623)
Y (0.502, 0.125, 0.877)
Y (0.875, 0.752, 0.377)
S (0.129, 0.236, 0.750)
S (0.130, 0.737, 0.750)
S (0.263, 0.014, 0.393)
S (0.487, 0.380, 0.250)
S (0.620, 0.871, 0.107)
S (0.621, 0.870, 0.607)
S (0.764, 0.513, 0.893)
S (0.986, 0.379, 0.250)

Properties
Symmetry = I-42d, No. 122
Raw formation energy = -2.077 eV/atom